Entry from Alexandria via LeMat-Bulk: a relaxed structure of Ca2MgPb (GGA-PBE).

Values from the calculation:
**DOS(E_F)**: 1.0 states/eV/f.u.
**Calculated formation energy**: -0.353 eV/atom
**Spin magnetization**: 0.00 μB/f.u.

a b c (Å): 3.9298 5.2603 12.0025
angles (deg): 90.00 99.29 90.00
Space group P2_1/m (No. 11)
Inequivalent atoms, fractional coordinates:
Ca: 0.0500 0.2500 0.1019
Ca: 0.1941 0.7500 0.3941
Mg: 0.4278 0.2500 0.8513
Pb: 0.3402 0.7500 0.6739